Computed, not measured: a relaxed Be2Pt crystal at the PBE-GGA level of DFT.

Structure (POSCAR):
```
Be2Pt
1.0
1.5722 0.7828 6.6534
4.1246 -4.5407 3.1180
6.3725 1.8356 1.8367
Pt Be
2 4
Direct
0.7500 0.7500 0.7500
0.0000 0.0000 0.0000
0.3750 0.8750 0.8750
0.8750 0.3750 0.8750
0.8750 0.8750 0.3750
0.8750 0.8750 0.8750
```

Properties
Total DFT energy (no corrections) ... -22.02 eV/cell
Energy above the most stable polymorph in this dataset ... 1.4829 eV/atom